Compound: Rb2ErNi3F12
Source: Alexandria
Functional: PBE with a Hubbard U
Structure: relaxed

Output
total energy	-84.731	eV/cell
symmetry	R-3m (166)
volume	289	Å³/cell
magnetization	5.00	Bohr magnetons per cell

Cell lengths 7.5118, 7.5118, 7.5118 Å; angles 58.47, 58.47, 58.47 degrees
Last column: nearest neighbours and their distance in Å.
Element x y z (fractional)
Rb: 0.1144 0.1144 0.1144  9 F 3.15-3.48
Rb: 0.8856 0.8856 0.8856  9 F 3.15-3.48
Er: 0.5000 0.5000 0.5000  6 F 2.16
Ni: 0.0000 0.5000 0.5000  6 F 1.94-2.02
Ni: 0.5000 0.0000 0.5000  6 F 1.94-2.02
Ni: 0.5000 0.5000 0.0000  6 F 1.94-2.02
F: 0.1478 0.5878 0.5878  1 Ni 2.02, 1 Er 2.16
F: 0.1920 0.1920 0.5834  2 Ni 1.94
F: 0.1920 0.5834 0.1920  2 Ni 1.94
F: 0.4122 0.4122 0.8522  1 Ni 2.02, 1 Er 2.16
F: 0.4122 0.8522 0.4122  1 Ni 2.02, 1 Er 2.16
F: 0.4166 0.8080 0.8080  2 Ni 1.94
F: 0.5834 0.1920 0.1920  2 Ni 1.94
F: 0.5878 0.1478 0.5878  1 Ni 2.02, 1 Er 2.16
F: 0.5878 0.5878 0.1478  1 Ni 2.02, 1 Er 2.16
F: 0.8080 0.4166 0.8080  2 Ni 1.94
F: 0.8080 0.8080 0.4166  2 Ni 1.94
F: 0.8522 0.4122 0.4122  1 Ni 2.02, 1 Er 2.16